[1]
Below is a relaxed Na2MoPH crystal, with properties calculated at the PBE level.

Summary:
The space-group type is P4/mmm (123). The value obtained for the raw total energy is -3.4748 eV per atom.

a = 5.7102 Å, b = 3.3521 Å, c = 5.7102 Å
α = 90.00°, β = 90.00°, γ = 90.00°
Closest atoms and distances in Å follow each position.
Atoms (fractional coordinates):
1 Na 0.5000 0.0000 0.0000  2 P 2.86
2 Na 0.0000 0.0000 0.5000  2 P 2.86
3 H 0.0000 0.5000 0.0000  2 P 1.68
4 Mo 0.5000 0.5000 0.5000  8 Na 3.31, 2 Mo 3.35
5 P 0.0000 0.0000 0.0000  2 H 1.68

[2]
Below is a relaxed RbNaMo2H crystal, with properties calculated at the PBE level.

Summary:
The space-group type is P4/mmm (123). The value obtained for the raw total energy is -3.0142 eV per atom.

a = 5.5168 Å, b = 7.1962 Å, c = 5.5168 Å
α = 90.00°, β = 90.00°, γ = 90.00°
Closest atoms and distances in Å follow each position.
Atoms (fractional coordinates):
1 Mo 0.5000 0.0000 0.0000  2 Na 2.76
2 Mo 0.0000 0.0000 0.5000  2 Na 2.76
3 Na 0.0000 0.0000 0.0000  4 Mo 2.76
4 H 0.5000 0.5000 0.5000  4 Rb 3.90
5 Rb 0.0000 0.5000 0.0000  2 Na 3.60, 4 H 3.90

[3]
Below is a relaxed Na2TaMoH crystal, with properties calculated at the PBE level.

Summary:
The space-group type is P4/mmm (123). The value obtained for the raw total energy is -4.8915 eV per atom.

a = 3.8689 Å, b = 5.3747 Å, c = 3.8689 Å
α = 90.00°, β = 90.00°, γ = 90.00°
Closest atoms and distances in Å follow each position.
Atoms (fractional coordinates):
1 Na 0.0000 0.0000 0.5000  2 H 1.93
2 Na 0.5000 0.0000 0.0000  2 H 1.93
3 H 0.0000 0.0000 0.0000  4 Na 1.93
4 Mo 0.5000 0.5000 0.5000  4 Ta 2.74
5 Ta 0.0000 0.5000 0.0000  2 H 2.69, 4 Mo 2.74

[4]
Below is a relaxed NaTi2MoH crystal, with properties calculated at the PBE level.

Summary:
The space-group type is P4/mmm (123). The value obtained for the raw total energy is -4.9210 eV per atom.

a = 4.9297 Å, b = 3.1776 Å, c = 4.9297 Å
α = 90.00°, β = 90.00°, γ = 90.00°
Closest atoms and distances in Å follow each position.
Atoms (fractional coordinates):
1 Mo 0.5000 0.5000 0.5000  8 Ti 2.93, 2 Mo 3.18
2 H 0.0000 0.5000 0.0000  2 Na 1.59
3 Na 0.0000 0.0000 0.0000  2 H 1.59
4 Ti 0.0000 0.0000 0.5000  2 Na 2.46
5 Ti 0.5000 0.0000 0.0000  2 Na 2.46

[5]
Below is a relaxed NaZrMoH2 crystal, with properties calculated at the PBE level.

Summary:
The space-group type is P4/mmm (123). The value obtained for the raw total energy is -4.3118 eV per atom.

a = 3.7741 Å, b = 4.9811 Å, c = 3.7741 Å
α = 90.00°, β = 90.00°, γ = 90.00°
Closest atoms and distances in Å follow each position.
Atoms (fractional coordinates):
1 Zr 0.5000 0.5000 0.5000  4 Na 2.67
2 Mo 0.0000 0.0000 0.0000  4 H 1.89
3 H 0.5000 0.0000 0.0000  2 Mo 1.89
4 H 0.0000 0.0000 0.5000  2 Mo 1.89
5 Na 0.0000 0.5000 0.0000  2 Mo 2.49, 4 Zr 2.67

[6]
Below is a relaxed NbMo2H2 crystal, with properties calculated at the PBE level.

Summary:
The space-group type is C2/m (12). The value obtained for the raw total energy is -7.6445 eV per atom. The value obtained for the relative energy among the computed polymorphs is 0.065 eV per formula unit.

a = 3.0362 Å, b = 3.9831 Å, c = 5.1595 Å
α = 113.33°, β = 107.11°, γ = 90.00°
Closest atoms and distances in Å follow each position.
Atoms (fractional coordinates):
1 Mo 0.6660 0.6660 0.3321  4 H 1.99-2.10
2 Mo 0.3340 0.3340 0.6679  4 H 1.99-2.10
3 H 0.3276 0.8272 0.6551  4 Mo 1.99-2.10, 2 Nb 2.17
4 H 0.6724 0.1728 0.3449  4 Mo 1.99-2.10, 2 Nb 2.17
5 Nb 0.0000 0.0000 0.0000  4 H 2.17